5
Lattice="7.011 0.000 0.000 0.000 4.749 0.000 0.000 0.000 7.011" Properties=species:S:1:pos:R:3 comment="PBE-GGA Cs2GeBiAu, optimized geometry" formation_energy_mev_per_atom=73 dft_energy_ev_per_fu=-13.1 m_tot_mub_per_cell=0.00 sg="No. 123" dos_ef_per_ev_cell=2.9 pbc="T T T"
Au 0.000 0.000 0.000
Cs 0.000 0.000 3.506
Cs 3.506 0.000 0.000
Ge 0.000 2.374 0.000
Bi 3.506 2.374 3.506